Density functional theory data (GGA-PBE) for a geometry-optimized Cr2CoMo structure.

Lattice parameters (Å, degrees): 8.850 8.850 8.850 16.85 16.85 16.85
Atoms (fractional coordinates):
Cr (0.242, 0.242, 0.242)
Cr (0.758, 0.758, 0.758)
Co (0.500, 0.500, 0.500)
Mo (0.000, 0.000, 0.000)

Space-group type: R-3m (166)
DFT formation energy: 1.42 eV/f.u.
Total magnetic moment: 0.000 μB/f.u.

---

Density functional theory data (GGA-PBE) for a geometry-optimized Sc2Sn2P structure.

Lattice parameters (Å, degrees): 5.728 5.728 5.728 120.97 120.97 88.32
Atoms (fractional coordinates):
Sc (0.250, 0.750, 0.500)
Sc (0.750, 0.250, 0.500)
Sn (0.178, 0.178, 0.000)
Sn (0.822, 0.822, 0.000)
P (0.500, 0.500, 0.000)

Space-group type: I4/mmm (139)
DFT formation energy: 0.21 eV/f.u.
Total magnetic moment: 0.000 μB/f.u.

---

Density functional theory data (GGA-PBE) for a geometry-optimized Hf3MnCr structure.

Lattice parameters (Å, degrees): 4.777 4.777 4.777 90.00 90.00 90.00
Atoms (fractional coordinates):
Hf (0.000, 0.000, 0.500)
Hf (0.000, 0.500, 0.000)
Hf (0.500, 0.000, 0.000)
Mn (0.000, 0.000, 0.000)
Cr (0.500, 0.500, 0.500)

Space-group type: Pm-3m (221)
DFT formation energy: 3.12 eV/f.u.
Total magnetic moment: 3.505 μB/f.u.

---

Density functional theory data (GGA-PBE) for a geometry-optimized SrAcSb4 structure.

Lattice parameters (Å, degrees): 6.468 6.468 6.468 60.00 60.00 60.00
Atoms (fractional coordinates):
Sr (0.000, 0.000, 0.000)
Ac (0.250, 0.250, 0.250)
Sb (0.124, 0.625, 0.625)
Sb (0.625, 0.124, 0.625)
Sb (0.625, 0.625, 0.124)
Sb (0.625, 0.625, 0.625)

Space-group type: F-43m (216)
Total magnetic moment: 0.000 μB/f.u.
Uncorrected formation energy: -0.447 eV/atom

---

Density functional theory data (GGA-PBE) for a geometry-optimized LaHoBr6 structure.

Lattice parameters (Å, degrees): 7.499 7.499 7.148 97.73 97.73 122.99
Atoms (fractional coordinates):
La (0.000, 0.000, 0.000)
Ho (0.500, 0.500, 0.500)
Br (0.118, 0.411, 0.261)
Br (0.253, 0.253, 0.741)
Br (0.411, 0.118, 0.261)
Br (0.589, 0.882, 0.739)
Br (0.747, 0.747, 0.259)
Br (0.882, 0.589, 0.739)

Space-group type: C2/m (12)
Total magnetic moment: 0.000 μB/f.u.
Uncorrected formation energy: -1.895 eV/atom

---

Density functional theory data (GGA-PBE) for a geometry-optimized BeRe2Se structure.

Lattice parameters (Å, degrees): 3.561 4.177 4.924 90.00 108.30 90.00
Atoms (fractional coordinates):
Be (0.000, 0.000, 0.000)
Re (0.334, 0.500, 0.173)
Re (0.666, 0.500, 0.827)
Se (0.500, 0.000, 0.500)

Space-group type: P2/m (10)
Total magnetic moment: 0.000 μB/f.u.
Uncorrected formation energy: 0.493 eV/atom

---

Density functional theory data (GGA-PBE) for a geometry-optimized CeTl2TcO6 structure.

Lattice parameters (Å, degrees): 5.969 5.969 5.969 60.00 60.00 60.00
Atoms (fractional coordinates):
Ce (0.000, 0.000, 0.000)
Tl (0.250, 0.250, 0.250)
Tl (0.750, 0.750, 0.750)
Tc (0.500, 0.500, 0.500)
O (0.271, 0.271, 0.729)
O (0.271, 0.729, 0.271)
O (0.271, 0.729, 0.729)
O (0.729, 0.271, 0.271)
O (0.729, 0.271, 0.729)
O (0.729, 0.729, 0.271)

Space-group type: Fm-3m (225)
Total magnetic moment: 0.002 μB/f.u.
Uncorrected formation energy: -1.728 eV/atom

---

Density functional theory data (GGA-PBE) for a geometry-optimized TePtPb2O6 structure.

Lattice parameters (Å, degrees): 10.963 10.963 10.963 31.40 31.40 31.40
Atoms (fractional coordinates):
Te (0.000, 0.000, 0.000)
Te (0.500, 0.500, 0.500)
Pt (0.091, 0.091, 0.091)
Pt (0.909, 0.909, 0.909)
Pb (0.231, 0.231, 0.231)
Pb (0.394, 0.394, 0.394)
Pb (0.606, 0.606, 0.606)
Pb (0.769, 0.769, 0.769)
O (0.106, 0.106, 0.638)
O (0.106, 0.638, 0.106)
O (0.234, 0.701, 0.701)
O (0.299, 0.299, 0.766)
O (0.299, 0.766, 0.299)
O (0.362, 0.894, 0.894)
O (0.638, 0.106, 0.106)
O (0.701, 0.234, 0.701)
O (0.701, 0.701, 0.234)
O (0.766, 0.299, 0.299)
O (0.894, 0.362, 0.894)
O (0.894, 0.894, 0.362)

Space-group type: R-3m (166)
Total magnetic moment: 0.000 μB/f.u.
Uncorrected formation energy: -0.782 eV/atom

---

Density functional theory data (GGA-PBE) for a geometry-optimized PmHoMgSc structure.

Lattice parameters (Å, degrees): 5.415 5.415 5.415 60.00 60.00 60.00
Atoms (fractional coordinates):
Pm (0.000, 0.000, 0.000)
Ho (0.500, 0.500, 0.500)
Mg (0.750, 0.750, 0.750)
Sc (0.250, 0.250, 0.250)

Space-group type: F-43m (216)
DFT formation energy: 0.09 eV/f.u.
Total magnetic moment: 0.000 μB/f.u.

---

Density functional theory data (GGA-PBE) for a geometry-optimized Li8Ag5Pt structure.

Lattice parameters (Å, degrees): 6.776 6.776 6.776 107.17 107.17 114.18
Atoms (fractional coordinates):
Li (0.141, 0.272, 0.809)
Li (0.173, 0.766, 0.862)
Li (0.234, 0.097, 0.407)
Li (0.464, 0.332, 0.191)
Li (0.668, 0.859, 0.132)
Li (0.689, 0.827, 0.593)
Li (0.728, 0.536, 0.868)
Li (0.903, 0.311, 0.138)
Ag (0.271, 0.519, 0.571)
Ag (0.299, 0.729, 0.247)
Ag (0.481, 0.052, 0.753)
Ag (0.750, 0.250, 0.500)
Ag (0.948, 0.701, 0.429)
Pt (0.000, 0.000, 0.000)

Space-group type: I-4 (82)
DFT formation energy: -2.27 eV/f.u.
Total magnetic moment: 0.000 μB/f.u.

---

Density functional theory data (GGA-PBE) for a geometry-optimized TlGaBiP2 structure.

Lattice parameters (Å, degrees): 4.845 4.845 5.306 90.00 90.00 90.00
Atoms (fractional coordinates):
Tl (0.000, 0.000, 0.000)
Ga (0.000, 0.000, 0.500)
Bi (0.500, 0.500, 0.000)
P (0.000, 0.500, 0.500)
P (0.500, 0.000, 0.500)

Space-group type: P4/mmm (123)
DFT formation energy: 3.05 eV/f.u.
Total magnetic moment: 0.000 μB/f.u.

---

Density functional theory data (GGA-PBE) for a geometry-optimized DyBeH structure.

Lattice parameters (Å, degrees): 6.224 6.224 3.839 90.00 90.00 144.79
Atoms (fractional coordinates):
Dy (0.149, 0.851, 0.750)
Dy (0.851, 0.149, 0.250)
Be (0.463, 0.537, 0.750)
Be (0.537, 0.463, 0.250)
H (0.247, 0.753, 0.250)
H (0.753, 0.247, 0.750)

Space-group type: Cmcm (63)
Total magnetic moment: 0.000 μB/f.u.

---

Density functional theory data (GGA-PBE) for a geometry-optimized Pr2Zn12Au7 structure.

Lattice parameters (Å, degrees): 10.480 10.480 4.191 90.00 90.00 120.00
Atoms (fractional coordinates):
Pr (0.333, 0.667, 0.248)
Pr (0.667, 0.333, 0.752)
Zn (0.047, 0.431, 0.751)
Zn (0.119, 0.263, 0.240)
Zn (0.144, 0.881, 0.240)
Zn (0.263, 0.144, 0.760)
Zn (0.384, 0.953, 0.751)
Zn (0.431, 0.384, 0.249)
Zn (0.569, 0.616, 0.751)
Zn (0.616, 0.047, 0.249)
Zn (0.737, 0.856, 0.240)
Zn (0.856, 0.119, 0.760)
Zn (0.881, 0.737, 0.760)
Zn (0.953, 0.569, 0.249)
Au (0.000, 0.000, 0.500)
Au (0.124, 0.712, 0.748)
Au (0.288, 0.412, 0.748)
Au (0.412, 0.124, 0.252)
Au (0.588, 0.876, 0.748)
Au (0.712, 0.588, 0.252)
Au (0.876, 0.288, 0.252)

Space-group type: P-3 (147)
DFT formation energy: -7.24 eV/f.u.
Total magnetic moment: 0.000 μB/f.u.

---

Density functional theory data (GGA-PBE) for a geometry-optimized K2CoAg2Cl6 structure.

Lattice parameters (Å, degrees): 7.594 7.594 7.594 60.24 60.24 60.24
Atoms (fractional coordinates):
K (0.219, 0.219, 0.219)
K (0.781, 0.781, 0.781)
Co (0.000, 0.000, 0.000)
Ag (0.418, 0.418, 0.418)
Ag (0.582, 0.582, 0.582)
Cl (0.210, 0.773, 0.773)
Cl (0.227, 0.227, 0.790)
Cl (0.227, 0.790, 0.227)
Cl (0.773, 0.210, 0.773)
Cl (0.773, 0.773, 0.210)
Cl (0.790, 0.227, 0.227)

Space-group type: R-3m (166)
Total magnetic moment: 3.000 μB/f.u.
Uncorrected formation energy: -0.941 eV/atom

---

Density functional theory data (GGA-PBE) for a geometry-optimized MgUGa2 structure.

Lattice parameters (Å, degrees): 4.731 4.731 3.742 90.00 90.00 90.00
Atoms (fractional coordinates):
Mg (0.000, 0.000, 0.000)
U (0.500, 0.500, 0.000)
Ga (0.000, 0.500, 0.500)
Ga (0.500, 0.000, 0.500)

Space-group type: P4/mmm (123)
DFT formation energy: -0.21 eV/f.u.
Total magnetic moment: 2.512 μB/f.u.

---

Density functional theory data (GGA-PBE) for a geometry-optimized Na10B13C7 structure.

Lattice parameters (Å, degrees): 5.013 8.519 7.597 90.00 109.26 90.00
Atoms (fractional coordinates):
Na (0.000, 0.247, 0.000)
Na (0.000, 0.753, 0.000)
Na (0.199, 0.247, 0.400)
Na (0.199, 0.753, 0.400)
Na (0.400, 0.251, 0.801)
Na (0.400, 0.749, 0.801)
Na (0.599, 0.247, 0.201)
Na (0.599, 0.753, 0.201)
Na (0.800, 0.249, 0.600)
Na (0.800, 0.751, 0.600)
B (0.066, 0.000, 0.801)
B (0.120, 0.500, 0.599)
B (0.284, 0.000, 0.200)
B (0.322, 0.500, 0.003)
B (0.461, 0.500, 0.599)
B (0.466, 0.000, 0.600)
B (0.539, 0.500, 0.391)
B (0.658, 0.000, 0.989)
B (0.662, 0.500, 0.002)
B (0.755, 0.500, 0.801)
B (0.869, 0.000, 0.412)
B (0.932, 0.000, 0.200)
B (0.948, 0.500, 0.210)
C (0.064, 0.500, 0.801)
C (0.131, 0.000, 0.606)
C (0.265, 0.500, 0.201)
C (0.332, 0.000, 0.998)
C (0.534, 0.000, 0.403)
C (0.725, 0.000, 0.795)
C (0.865, 0.500, 0.400)

Space-group type: Pm (6)
DFT formation energy: 3.60 eV/f.u.
Total magnetic moment: 0.000 μB/f.u.

---

Density functional theory data (GGA-PBE) for a geometry-optimized ReMo4W2 structure.

Lattice parameters (Å, degrees): 4.651 5.187 9.800 90.00 103.72 90.00
Atoms (fractional coordinates):
Re (0.100, 0.250, 0.200)
Re (0.900, 0.750, 0.800)
Mo (0.047, 0.750, 0.096)
Mo (0.233, 0.250, 0.466)
Mo (0.359, 0.502, 0.717)
Mo (0.359, 0.998, 0.717)
Mo (0.641, 0.002, 0.283)
Mo (0.641, 0.498, 0.283)
Mo (0.767, 0.750, 0.534)
Mo (0.953, 0.250, 0.904)
W (0.190, 0.750, 0.381)
W (0.484, 0.750, 0.970)
W (0.516, 0.250, 0.030)
W (0.810, 0.250, 0.619)

Space-group type: P2_1/m (11)
DFT formation energy: 2.61 eV/f.u.
Total magnetic moment: 0.000 μB/f.u.

---

Density functional theory data (GGA-PBE) for a geometry-optimized Na6Mg structure.

Lattice parameters (Å, degrees): 7.693 7.693 7.693 109.47 109.47 109.47
Atoms (fractional coordinates):
Na (0.250, 0.500, 0.750)
Na (0.250, 0.750, 0.500)
Na (0.500, 0.250, 0.750)
Na (0.500, 0.750, 0.250)
Na (0.750, 0.250, 0.500)
Na (0.750, 0.500, 0.250)
Mg (0.000, 0.000, 0.000)

Space-group type: Im-3m (229)
DFT formation energy: 3.12 eV/f.u.
Total magnetic moment: 0.000 μB/f.u.

---

Density functional theory data (GGA-PBE) for a geometry-optimized Os2BrCl structure.

Lattice parameters (Å, degrees): 2.852 4.393 5.263 90.00 90.00 90.00
Atoms (fractional coordinates):
Os (0.000, 0.000, 0.000)
Os (0.500, 0.000, 0.500)
Br (0.000, 0.500, 0.500)
Cl (0.500, 0.500, 0.000)

Space-group type: Pmmm (47)
Total magnetic moment: 0.000 μB/f.u.
Uncorrected formation energy: 1.402 eV/atom

---

Density functional theory data (GGA-PBE) for a geometry-optimized PrEr2Rh2 structure.

Lattice parameters (Å, degrees): 4.502 4.502 6.675 107.34 107.34 89.98
Atoms (fractional coordinates):
Pr (0.000, 0.000, 0.000)
Er (0.252, 0.748, 0.500)
Er (0.748, 0.252, 0.500)
Rh (0.372, 0.372, 0.784)
Rh (0.628, 0.628, 0.216)

Space-group type: C2/m (12)
DFT formation energy: -2.98 eV/f.u.
Total magnetic moment: 0.000 μB/f.u.

---

Density functional theory data (GGA-PBE) for a geometry-optimized Zn2HgTe structure.

Lattice parameters (Å, degrees): 5.437 5.437 5.437 135.97 104.12 92.12
Atoms (fractional coordinates):
Zn (0.246, 0.246, 0.000)
Zn (0.754, 0.754, 0.000)
Hg (0.000, 0.500, 0.500)
Te (0.500, 0.000, 0.500)

Space-group type: Immm (71)
Total magnetic moment: 0.000 μB/f.u.
Uncorrected formation energy: 0.083 eV/atom

---

Density functional theory data (GGA-PBE) for a geometry-optimized LaP2HO structure.

Lattice parameters (Å, degrees): 3.532 3.532 5.846 90.00 90.00 90.00
Atoms (fractional coordinates):
La (0.000, 0.000, 0.000)
P (0.000, 0.500, 0.500)
P (0.500, 0.000, 0.500)
H (0.500, 0.500, 0.500)
O (0.500, 0.500, 0.000)

Space-group type: P4/mmm (123)
Total magnetic moment: 0.000 μB/f.u.

---

Density functional theory data (GGA-PBE) for a geometry-optimized Tb2Pr6Ho structure.

Lattice parameters (Å, degrees): 10.137 10.137 3.687 90.00 90.00 124.05
Atoms (fractional coordinates):
Tb (0.175, 0.825, 0.000)
Tb (0.825, 0.175, 0.000)
Pr (0.160, 0.490, 0.500)
Pr (0.316, 0.316, 0.000)
Pr (0.490, 0.160, 0.500)
Pr (0.510, 0.840, 0.500)
Pr (0.684, 0.684, 0.000)
Pr (0.840, 0.510, 0.500)
Ho (0.000, 0.000, 0.500)

Space-group type: Cmmm (65)
DFT formation energy: 1.15 eV/f.u.
Total magnetic moment: 0.000 μB/f.u.

---

Result set for E: -35.8 -25.9 -45.5 -25.0 -34.7 -30.1 -68.1 -108.3 -17.2 -37.9 -17.0 -24.9 -55.0 -36.4 -19.1 -161.0 -158.1 -6.4 -20.4 -31.6 -5.7 -28.4 -41.4 eV/cell, one per record in the order listed.